1.
The following is a DFT calculation (PBE) of a relaxed structure of KScBr4.

Properties
Crystal system = monoclinic
Symmetry = C2/c, No. 15

```
KScBr4
1.0
8.5236 0.1063 0.0000
-1.0893 6.6433 0.0000
-3.7172 -3.3748 7.8356
Br Sc K
8 2 2
direct
0.9759 0.2671 0.1204 Br
0.6445 0.8533 0.1204 Br
0.2380 0.5191 0.6000 Br
0.8620 0.0809 0.6000 Br
0.1380 0.9191 0.4000 Br
0.0241 0.7329 0.8796 Br
0.3555 0.1467 0.8796 Br
0.7620 0.4809 0.4000 Br
0.9256 0.1756 0.3512 Sc
0.0744 0.8244 0.6488 Sc
0.3299 0.5799 0.1598 K
0.6701 0.4201 0.8402 K
```



2.
The following is a DFT calculation (PBE) of a relaxed structure of KSc2Br.

Properties
Crystal system = cubic
Symmetry = Fm-3m, No. 225

```
KSc2Br
1.0
-0.3638 -4.2397 3.4384
1.6230 0.5450 5.1961
-3.6997 0.0559 4.0298
K Br Sc
1 1 2
direct
0.0000 0.0000 0.0000 K
0.5000 0.5000 0.5000 Br
0.7500 0.7500 0.7500 Sc
0.2500 0.2500 0.2500 Sc
```



3.
The following is a DFT calculation (PBE) of a relaxed structure of KScSn2Br8.

Properties
Crystal system = triclinic
Symmetry = P-1, No. 2

```
KScSn2Br8
1.0
7.1013 0.0782 -0.0054
0.1181 6.7166 -0.0053
0.0053 0.0132 8.9510
Sc Sn Br K
1 2 8 1
direct
0.0000 0.0000 0.0000 Sc
0.5002 0.4999 0.7543 Sn
0.4998 0.5001 0.2457 Sn
0.8485 0.2360 0.7886 Br
0.6324 0.7265 0.5000 Br
0.3676 0.2735 0.5000 Br
0.8480 0.2354 0.2111 Br
0.1515 0.7640 0.2114 Br
0.3103 0.2262 0.0003 Br
0.1520 0.7646 0.7889 Br
0.6897 0.7738 0.9997 Br
0.0000 0.0000 0.5000 K
```



Listing E for the structures above in their given order: -24.38 -13.20 -43.35 eV/f.u..
Listing uncorrected formation energy for the structures above in their given order: -989 215 -1402 kJ/mol of formula units.
Listing N(E_F) for the structures above in their given order: 0.00 6.68 0.00 states/eV/cell.